# CsTi3Ru (PBE, relaxed)
data_CsTi3Ru
_chemical_formula_sum 'Cs1 Ti3 Ru1'
_space_group_name_H-M_alt 'P 1'
_space_group_IT_number 1
_cell_length_a 4.834
_cell_length_b 4.834
_cell_length_c 4.834
_cell_angle_alpha 90.00
_cell_angle_beta 90.00
_cell_angle_gamma 90.00
loop_
_space_group_symop_operation_xyz
'x,y,z'
loop_
_atom_site_label
_atom_site_type_symbol
_atom_site_fract_x
_atom_site_fract_y
_atom_site_fract_z
Cs1 Cs 0.000 0.000 0.000
Ti1 Ti 0.000 0.000 0.500
Ti2 Ti 0.000 0.500 0.000
Ti3 Ti 0.500 0.000 0.000
Ru1 Ru 0.500 0.500 0.500
# M_tot   0.0 μB/f.u.
# Space-group type   No. 221
# DOS at the Fermi energy   9.02 states/eV/f.u.
# Crystal system   cubic
# DFT formation energy   2.362 eV/atom
# Polymorph energy (0 for the lowest one)   8.153 eV per formula unit

---

# TbTm2Co2 (PBE, relaxed)
data_TbTm2Co2
_chemical_formula_sum 'Tb1 Tm2 Co2'
_space_group_name_H-M_alt 'P 1'
_space_group_IT_number 1
_cell_length_a 5.890
_cell_length_b 5.890
_cell_length_c 5.445
_cell_angle_alpha 102.94
_cell_angle_beta 102.94
_cell_angle_gamma 36.65
loop_
_space_group_symop_operation_xyz
'x,y,z'
loop_
_atom_site_label
_atom_site_type_symbol
_atom_site_fract_x
_atom_site_fract_y
_atom_site_fract_z
Tb1 Tb 0.000 0.000 0.000
Tm1 Tm 0.351 0.351 0.418
Tm2 Tm 0.649 0.649 0.582
Co1 Co 0.283 0.283 0.895
Co2 Co 0.717 0.717 0.105
# M_tot   0.0 μB/f.u.
# Space-group type   No. 12
# DOS at the Fermi energy   3.71 states/eV/f.u.
# Crystal system   monoclinic
# DFT formation energy   -0.112 eV/atom
# Polymorph energy (0 for the lowest one)   0.336 eV per formula unit